Density functional theory data (GGA+U) for a relaxed KLiWO2 crystal.

Lattice parameters (Å, degrees): 4.656 3.916 4.656 90.00 90.00 90.00
Positions (direct):
K  0.000  0.000  0.000
O  0.500  0.000  0.000
O  0.000  0.000  0.500
Li  0.000  0.500  0.000
W  0.500  0.500  0.500

Summary:
Symmetry ... No. 123
Total energy ... -16.06 eV/cell
Spin magnetization ... 3.93 μB per formula unit